Below is an optimized crystal structure of Ta3Ag, with properties calculated at the PBE level.

Cell and atoms, written as POSCAR:
```
Ta3Ag
1.0
4.973 0.000 0.000
0.000 4.973 0.000
0.000 0.000 4.973
Ta Ag
3 1
Direct
0.000 0.000 0.500
0.000 0.500 0.000
0.500 0.000 0.000
0.000 0.000 0.000
```

Properties
Calculated formation energy ... 12.55 eV per formula unit
Relative energy among the computed polymorphs ... 3.022 eV per atom
Mass density ... 8786 kg/m³
M_tot ... 1.3 μB/f.u.
Symmetry ... Pm-3m (221)

Below is an optimized crystal structure of Ta2Ag, with properties calculated at the PBE level.

Cell and atoms, written as POSCAR:
```
Ta2Ag
1.0
5.479 0.000 0.000
-2.739 4.745 0.000
0.000 0.000 8.872
Ta Ag
8 4
Direct
0.000 0.000 0.000
0.000 0.000 0.500
0.167 0.335 0.250
0.167 0.833 0.250
0.335 0.167 0.750
0.665 0.833 0.250
0.833 0.167 0.750
0.833 0.665 0.750
0.333 0.667 0.565
0.333 0.667 0.935
0.667 0.333 0.065
0.667 0.333 0.435
```

Properties
Calculated formation energy ... 1.81 eV per formula unit
Mass density ... 13528 kg/m³
M_tot ... 0.0 μB/f.u.
Symmetry ... P6_3/mmc (194)

Below is an optimized crystal structure of TaAg, with properties calculated at the PBE level.

Cell and atoms, written as POSCAR:
```
TaAg
1.0
3.189 0.000 0.000
0.000 4.506 0.000
0.000 0.000 4.985
Ta Ag
2 2
Direct
0.000 0.000 0.000
0.500 0.500 0.000
0.000 0.500 0.500
0.500 0.000 0.500
```

Properties
Calculated formation energy ... 0.74 eV per formula unit
Mass density ... 13392 kg/m³
M_tot ... 0.0 μB/f.u.
Symmetry ... Cmmm (65)

Below is an optimized crystal structure of Ta3Ag, with properties calculated at the PBE level.

Cell and atoms, written as POSCAR:
```
Ta3Ag
1.0
2.876 0.000 0.000
-1.438 2.491 0.000
0.000 0.000 30.694
Ta Ag
9 3
Direct
0.000 0.000 0.000
0.000 0.000 0.249
0.000 0.000 0.751
0.333 0.667 0.418
0.333 0.667 0.667
0.333 0.667 0.915
0.667 0.333 0.085
0.667 0.333 0.333
0.667 0.333 0.582
0.000 0.000 0.500
0.333 0.667 0.167
0.667 0.333 0.833
```

Properties
Calculated formation energy ... 1.22 eV per formula unit
Relative energy among the computed polymorphs ... 0.188 eV per atom
Mass density ... 14739 kg/m³
M_tot ... 0.0 μB/f.u.
Symmetry ... R-3m (166)

Below is an optimized crystal structure of TaAg5, with properties calculated at the PBE level.

Cell and atoms, written as POSCAR:
```
TaAg5
1.0
0.000 3.801 3.801
3.801 0.000 3.801
3.801 3.801 0.000
Ta Ag
1 5
Direct
0.000 0.000 0.000
0.125 0.625 0.625
0.250 0.250 0.250
0.625 0.125 0.625
0.625 0.625 0.125
0.625 0.625 0.625
```

Properties
Calculated formation energy ... 3.13 eV per formula unit
Mass density ... 10889 kg/m³
M_tot ... 0.0 μB/f.u.
Symmetry ... F-43m (216)

Below is an optimized crystal structure of TaAg2, with properties calculated at the PBE level.

Cell and atoms, written as POSCAR:
```
TaAg2
1.0
2.830 0.000 0.000
0.000 2.830 0.000
0.000 0.000 27.506
Ta Ag
4 8
Direct
0.000 0.250 0.375
0.000 0.750 0.625
0.500 0.250 0.125
0.500 0.750 0.875
0.000 0.250 0.795
0.000 0.250 0.955
0.000 0.750 0.045
0.000 0.750 0.205
0.500 0.250 0.545
0.500 0.250 0.705
0.500 0.750 0.295
0.500 0.750 0.455
```

Properties
Calculated formation energy ... 1.06 eV per formula unit
Mass density ... 11963 kg/m³
M_tot ... 0.0 μB/f.u.
Symmetry ... I4_1/amd (141)

Below is an optimized crystal structure of TaAg, with properties calculated at the PBE level.

Cell and atoms, written as POSCAR:
```
TaAg
1.0
4.594 0.000 0.000
-2.297 3.979 0.000
0.000 0.000 8.438
Ta Ag
4 4
Direct
0.333 0.667 0.082
0.333 0.667 0.418
0.667 0.333 0.582
0.667 0.333 0.918
0.000 0.000 0.250
0.000 0.000 0.750
0.333 0.667 0.750
0.667 0.333 0.250
```

Properties
Calculated formation energy ... 1.62 eV per formula unit
Mass density ... 12437 kg/m³
M_tot ... 0.9 μB/f.u.
Symmetry ... P6_3/mmc (194)

Below is an optimized crystal structure of Ta4Ag, with properties calculated at the PBE level.

Cell and atoms, written as POSCAR:
```
Ta4Ag
1.0
4.837 0.000 0.000
0.000 4.837 0.000
0.000 0.000 4.837
Ta Ag
4 1
Direct
0.000 0.000 0.000
0.000 0.500 0.500
0.500 0.000 0.500
0.500 0.500 0.000
0.500 0.500 0.500
```

Properties
Calculated formation energy ... 10.27 eV per formula unit
Relative energy among the computed polymorphs ... 1.860 eV per atom
Mass density ... 12204 kg/m³
M_tot ... 0.0 μB/f.u.
Symmetry ... Pm-3m (221)